The following is a PBE with a Hubbard U calculation of a geometry-optimized Sm2ScCrO6 structure, from Alexandria via LeMat-Bulk.

Cell lengths 5.480, 5.725, 9.580 Å; angles 90.00, 124.57, 90.00 degrees
Element x y z (fractional)
Sm: 0.233 0.060 0.250
Sm: 0.233 0.440 0.750
Sm: 0.767 0.560 0.250
Sm: 0.767 0.940 0.750
Sc: 0.500 0.000 0.000
Sc: 0.500 0.500 0.500
Cr: 0.000 0.000 0.500
Cr: 0.000 0.500 0.000
O: 0.136 0.204 0.943
O: 0.136 0.296 0.443
O: 0.241 0.696 0.944
O: 0.241 0.804 0.444
O: 0.352 0.038 0.745
O: 0.352 0.462 0.245
O: 0.648 0.538 0.755
O: 0.648 0.962 0.255
O: 0.759 0.196 0.556
O: 0.759 0.304 0.056
O: 0.864 0.704 0.557
O: 0.864 0.796 0.057

Properties
Its final energy is -8.434 eV per atom. Its density of states at the Fermi level is 0.000 states/eV per cell.